## ScTaCd (PBE)

Data for a relaxed structure of ScTaCd.

The energy above the most stable polymorph in this dataset is 0.0957 eV per atom. The energy is -6.342 eV per atom. Its density of states at the Fermi level is 4.98 states/eV/cell. The calculation puts the energy of formation at 24 meV/atom.

It has space group I4mm (No. 107), with a = 2.956 Å, b = 2.956 Å, c = 14.011 Å, α = 90.00°, β = 90.00° and γ = 90.00°. The inequivalent atoms are Sc at (0.000, 0.000, 0.000), Ta at (0.000, 0.000, 0.656) and Cd at (0.000, 0.000, 0.323).

=====

## ScTaCd2 (PBE)

Data for a relaxed structure of ScTaCd2.

The energy above the most stable polymorph in this dataset is 0.2502 eV per atom. The energy is -4.753 eV per atom. Its density of states at the Fermi level is 8.42 states/eV/cell. The calculation puts the energy of formation at 250 meV/atom.

It has space group I-4m2 (No. 119), with a = 4.227 Å, b = 4.227 Å, c = 9.193 Å, α = 90.00°, β = 90.00° and γ = 90.00°. The inequivalent atoms are Sc at (0.000, 0.000, 0.000), Ta at (0.000, 0.500, 0.750), Cd at (0.000, 0.000, 0.500) and Cd at (0.000, 0.500, 0.250).

=====

Q: What is the formula in the first record?
A: ScTaCd